No. 1
VASP calculation (GGA-PBE) on a relaxed structure of HoTm2PbC.

## Properties
**Calculated density**: 10.5 g/cm3
**Electronic total energy**: -29.3 eV for the cell shown

Cell lengths 4.8390, 4.8390, 4.8715 Å; angles 90.00, 90.00, 90.00 degrees
With the nearest neighbours (Å) after each atom.
Space group P4/mmm (No. 123)
Unique sites:
Ho  0.0000  0.0000  0.0000  2 C 2.44
Tm  0.0000  0.5000  0.5000  2 C 2.42
Pb  0.5000  0.5000  0.0000  4 Ho 3.42, 8 Tm 3.43
C  0.0000  0.0000  0.5000  4 Tm 2.42, 2 Ho 2.44

No. 2
VASP calculation (GGA-PBE) on a relaxed structure of HoTm3Pb2C2.

## Properties
**Calculated density**: 10.4 g/cm3
**Electronic total energy**: -48.1 eV for the cell shown

Cell lengths 3.5947, 3.5947, 15.8929 Å; angles 90.00, 90.00, 120.00 degrees
With the nearest neighbours (Å) after each atom.
Space group P3m1 (No. 156)
Unique sites:
Ho  0.0000  0.0000  0.0000  3 C 2.46
Tm  0.0000  0.0000  0.3358  3 C 2.45
Tm  0.3333  0.6667  0.4993  3 C 2.45
Tm  0.3333  0.6667  0.8351  3 C 2.45
Pb  0.0000  0.0000  0.6673  6 Tm 3.38, 6 Pb 3.59
Pb  0.3333  0.6667  0.1686  3 Tm 3.37, 3 Ho 3.39, 6 Pb 3.59
C  0.6667  0.3333  0.4177  6 Tm 2.45
C  0.6667  0.3333  0.9164  3 Tm 2.45, 3 Ho 2.46

No. 3
VASP calculation (GGA-PBE) on a relaxed structure of Pm6Ho2C.

## Properties
**Calculated density**: 7.1 g/cm3
**Electronic total energy**: -186.8 eV for the cell shown

Cell lengths 10.4160, 10.4160, 10.4160 Å; angles 90.00, 90.00, 90.00 degrees
With the nearest neighbours (Å) after each atom.
Space group Fm-3m (No. 225)
Unique sites:
Pm  0.0000  0.0000  0.2379  1 C 2.48
Ho  0.2500  0.2500  0.2500  12 Pm 3.68
C  0.0000  0.0000  0.0000  6 Pm 2.48

No. 4
VASP calculation (GGA-PBE) on a relaxed structure of HoPt2C.

## Properties
**Calculated density**: 13.6 g/cm3
**Electronic total energy**: -93.7 eV for the cell shown

Cell lengths 3.1613, 5.4684, 16.0618 Å; angles 90.00, 90.00, 90.00 degrees
With the nearest neighbours (Å) after each atom.
Space group Cmcm (No. 63)
Unique sites:
Ho  0.0000  0.1697  0.2500  2 Pt 2.82, 4 Ho 3.16
Pt  0.0000  0.1675  0.0744  3 C 2.18
C  0.0000  0.5000  0.0000  6 Pt 2.18

No. 5
VASP calculation (GGA-PBE) on a relaxed structure of Ho2Pt2C3.

## Properties
**Calculated density**: 12.5 g/cm3
**Electronic total energy**: -98.8 eV for the cell shown

Cell lengths 11.3865, 3.5519, 5.0820 Å; angles 90.00, 101.88, 90.00 degrees
With the nearest neighbours (Å) after each atom.
Space group C2/m (No. 12)
Unique sites:
Ho  0.1211  0.0000  0.3271  5 C 2.49-2.57
Pt  0.1355  0.5000  0.8258  4 C 2.02-2.15
C  0.0000  0.5000  0.5000  2 Pt 2.02
C  0.2366  0.0000  0.7990  3 Pt 2.14-2.15

No. 6
VASP calculation (GGA-PBE) on a relaxed structure of HoSnPtC.

## Properties
**Calculated density**: 10.0 g/cm3
**Relative energy among the computed polymorphs**: 0.000 eV/atom
**Electronic total energy**: -49.2 eV for the cell shown

Cell lengths 4.1149, 4.1149, 11.1485 Å; angles 90.00, 90.00, 120.00 degrees
With the nearest neighbours (Å) after each atom.
Space group P6_3mc (No. 186)
Unique sites:
Ho  0.3333  0.6667  0.0000  3 C 2.38
Sn  0.0000  0.0000  0.2007  3 Pt 2.66
Pt  0.3333  0.6667  0.3073  1 C 1.94
C  0.3333  0.6667  0.4814  1 Pt 1.94